First-principles (PBE-GGA) data for a relaxed structure of Be2ZnP, as listed in Alexandria.

Unit cell a=5.5582 b=5.5582 c=8.8693 alpha=90.00 beta=90.00 gamma=90.00
Closest atoms and distances in Å follow each position.
Space group I-42d (No. 122)
One atom of each set of equivalent atoms:
Be (0.1882, 0.2500, 0.1250) (multiplicity 8)  2 P 2.06
Zn (0.0000, 0.0000, 0.5000) (multiplicity 4)  4 Be 2.48
P (0.0000, 0.0000, 0.0000) (multiplicity 4)  4 Be 2.06

Values from the calculation:
Energy of formation ... 0.368 eV/atom
Relative energy among the computed polymorphs ... 140 meV per atom